Entry 1:
! PH2S5, relaxed, DFT PBE-GGA; values from VASP
&SYSTEM
  ibrav = 0, nat = 8, ntyp = 3
/
ATOMIC_SPECIES
H 1.01 H.upf
S 32.06 S.upf
P 30.97 P.upf
ATOMIC_POSITIONS crystal
H 0.314 0.719 0.521
S 0.582 0.640 0.870
P 0.996 0.940 0.918
S 0.336 0.174 0.965
S 0.408 0.746 0.033
S 0.615 0.811 0.562
S 0.830 0.297 0.309
H 0.696 0.450 0.376
CELL_PARAMETERS angstrom
4.463 0.251 -1.220
0.402 7.397 0.353
-4.047 -3.658 7.032
! - calculated volume (Å³ per cell) = 202.1
! - E_tot (Ha/atom) = -0.151
! - mass density (g/cm³) = 1.59
! - D(E_F) (states/eV/cell) = 1.9

***

Entry 2:
! PH3S, relaxed, DFT PBE-GGA; values from VASP
&SYSTEM
  ibrav = 0, nat = 10, ntyp = 3
/
ATOMIC_SPECIES
H 1.01 H.upf
S 32.06 S.upf
P 30.97 P.upf
ATOMIC_POSITIONS crystal
H 0.783 0.993 0.270
S 0.339 0.966 0.482
H 0.796 0.683 0.750
S 0.704 0.929 0.416
P 0.369 0.024 0.019
H 0.275 0.715 0.012
H 0.353 0.892 0.826
P 0.755 0.951 0.952
H 0.273 0.634 0.359
H 0.854 0.213 0.914
CELL_PARAMETERS angstrom
-5.856 0.211 -0.884
1.246 -4.694 -0.375
-4.063 3.579 6.747
! - calculated volume (Å³ per cell) = 189.1
! - mass density (g/cm³) = 1.16
! - D(E_F) (states/eV/cell) = 0.0
! - energy above the lowest structure with this stoichiometry (meV/atom) = 43

***

Entry 3:
! PHS2, relaxed, DFT PBE-GGA; values from VASP
&SYSTEM
  ibrav = 0, nat = 4, ntyp = 3
/
ATOMIC_SPECIES
H 1.01 H.upf
S 32.06 S.upf
P 30.97 P.upf
ATOMIC_POSITIONS crystal
H 0.500 0.500 0.500
S 0.105 0.105 0.105
S 0.895 0.895 0.895
P 0.000 0.000 0.000
CELL_PARAMETERS angstrom
1.627 0.000 7.443
-0.814 1.409 7.443
-0.814 -1.409 7.443
! - calculated volume (Å³ per cell) = 51.2
! - mass density (g/cm³) = 3.12
! - D(E_F) (states/eV/cell) = 2.0
! - energy above the lowest structure with this stoichiometry (meV/atom) = 1060

***

Entry 4:
! PH3S, relaxed, DFT PBE-GGA; values from VASP
&SYSTEM
  ibrav = 0, nat = 10, ntyp = 3
/
ATOMIC_SPECIES
H 1.01 H.upf
S 32.06 S.upf
P 30.97 P.upf
ATOMIC_POSITIONS crystal
H 0.544 0.201 0.445
H 0.929 0.520 0.592
S 0.908 0.201 0.002
P 0.570 0.201 0.144
P 0.070 0.701 0.503
H 0.429 0.382 0.055
H 0.043 0.700 0.202
H 0.928 0.882 0.592
S 0.408 0.701 0.645
H 0.429 0.020 0.055
CELL_PARAMETERS angstrom
-4.574 -2.291 -2.002
2.285 0.426 -5.708
1.925 -4.239 0.454
! - calculated volume (Å³ per cell) = 158.3
! - mass density (g/cm³) = 1.39
! - D(E_F) (states/eV/cell) = 0.0
! - energy above the lowest structure with this stoichiometry (meV/atom) = 0

***

Entry 5:
! PHS2, relaxed, DFT PBE-GGA; values from VASP
&SYSTEM
  ibrav = 0, nat = 8, ntyp = 3
/
ATOMIC_SPECIES
P 30.97 P.upf
H 1.01 H.upf
S 32.06 S.upf
ATOMIC_POSITIONS crystal
P 0.000 0.000 0.000
H 0.250 0.750 0.500
S 0.603 0.125 0.250
S 0.875 0.853 0.750
P 0.750 0.250 0.500
H 0.500 0.500 0.000
S 0.375 0.397 0.750
S 0.147 0.625 0.250
CELL_PARAMETERS angstrom
-2.307 3.303 -2.556
2.236 -1.490 -3.943
-4.314 -2.859 -4.254
! - calculated volume (Å³ per cell) = 131.8
! - mass density (g/cm³) = 2.42
! - D(E_F) (states/eV/cell) = 1.7
! - energy above the lowest structure with this stoichiometry (meV/atom) = 753

***

Entry 6:
! PH3S, relaxed, DFT PBE-GGA; values from VASP
&SYSTEM
  ibrav = 0, nat = 5, ntyp = 3
/
ATOMIC_SPECIES
H 1.01 H.upf
P 30.97 P.upf
S 32.06 S.upf
ATOMIC_POSITIONS crystal
H 0.000 0.000 0.500
H 0.000 0.500 0.000
P 0.500 0.500 0.500
H 0.500 0.000 0.000
S 0.000 0.000 0.000
CELL_PARAMETERS angstrom
-1.648 -3.084 -0.262
1.381 -0.468 -3.189
2.770 -1.602 1.434
! - calculated volume (Å³ per cell) = 43.1
! - mass density (g/cm³) = 2.54
! - D(E_F) (states/eV/cell) = 1.6
! - energy above the lowest structure with this stoichiometry (meV/atom) = 1134

***

- Look up the D(E_F) of the sixth one.
  1.6 states/eV/cell

***

Please write out number 3 again, unchanged.
! PHS2, relaxed, DFT PBE-GGA; values from VASP
&SYSTEM
  ibrav = 0, nat = 4, ntyp = 3
/
ATOMIC_SPECIES
H 1.01 H.upf
S 32.06 S.upf
P 30.97 P.upf
ATOMIC_POSITIONS crystal
H 0.500 0.500 0.500
S 0.105 0.105 0.105
S 0.895 0.895 0.895
P 0.000 0.000 0.000
CELL_PARAMETERS angstrom
1.627 0.000 7.443
-0.814 1.409 7.443
-0.814 -1.409 7.443
! - calculated volume (Å³ per cell) = 51.2
! - mass density (g/cm³) = 3.12
! - D(E_F) (states/eV/cell) = 2.0
! - energy above the lowest structure with this stoichiometry (meV/atom) = 1060

***

- Which of these has the highest D(E_F)?
  number 3